one.
Be2HgCl: relaxed, PBE-GGA.

POSCAR file:
```
Be2HgCl
1.0
-1.424 3.222 4.442
1.424 -3.222 4.442
1.424 3.222 -4.442
Be Hg Cl
2 1 1
Direct
0.000 0.000 0.000 Be
0.798 0.298 0.500 Be
0.245 0.745 0.500 Hg
0.638 0.638 0.000 Cl
```

Calculated values
For the total magnetization, the calculation gives 0.000 μB per cell. The space group is Imm2. Its calculated volume is 20.4 Å³/atom.

two.
Be2HgCl: relaxed, PBE-GGA.

POSCAR file:
```
Be2HgCl
1.0
1.526 -3.073 0.000
1.526 3.073 0.000
0.000 0.000 7.452
Be Hg Cl
2 1 1
Direct
0.000 0.000 0.243 Be
0.000 0.000 0.757 Be
0.500 0.500 0.500 Hg
0.500 0.500 0.000 Cl
```

Calculated values
For the total magnetization, the calculation gives 0.000 μB per cell. The space group is Cmmm. Its calculated volume is 17.5 Å³/atom.

Of them, the most stable is one and the least stable is two.